K2VCuS4 | the Alexandria database | GGA-PBEsol | relaxed; size of the total moment = 0.00 μB/f.u.; symmetry = Fddd (70); final energy = -83.93 eV for the cell shown
1.0
5.339 0.000 0.000
2.670 6.346 0.000
2.670 0.000 11.170
K V S Cu
4 2 8 2
Cartesian
2.670 0.000 4.002
5.339 0.000 7.168
4.004 3.173 1.583
4.004 3.173 9.587
2.670 0.000 0.000
4.004 3.173 5.585
6.584 5.089 1.240
5.250 4.430 6.825
6.763 5.089 9.930
2.759 1.916 6.825
5.250 1.916 4.345
6.584 1.257 9.930
8.098 4.430 4.345
1.424 1.257 1.240
0.000 0.000 0.000
6.674 3.173 5.585


YAu3 | the Alexandria database | GGA-PBEsol | relaxed; size of the total moment = 0.00 μB/f.u.; symmetry = I4/mmm (139); ΔH_f (0 K) = -621 meV per atom; final energy = -42.16 eV for the cell shown; D(E_F) = 0.486 states/eV per atom
1.0
4.357 0.000 0.000
0.000 4.357 0.000
-2.178 -2.178 8.120
Y Au
2 6
Cartesian
0.000 0.000 6.032
2.178 2.178 2.088
2.178 2.178 6.137
2.178 0.000 4.060
0.000 2.178 0.000
0.000 0.000 1.983
0.000 2.178 4.060
2.178 0.000 0.000